Compound: Dy6PuIn5
Source: Alexandria
Functional: PBE-GGA
Structure: relaxed

abc: 5.1667 8.0671 9.1510
angles: 116.15 106.40 90.00
Closest atoms and distances in Å follow each position.
Element x y z (fractional)
Dy 0.8328 0.0864 0.6655  7 In 3.25-3.41, 1 Pu 3.31
Dy 0.5000 0.7353 0.0000  6 In 3.21-3.27, 2 Pu 3.35
Pu 0.0000 0.0000 0.0000  8 Dy 3.31-3.35, 4 In 3.54
In 0.6708 0.6708 0.3417  8 Dy 3.25-3.27
Dy 0.8328 0.5791 0.6655  7 In 3.25-3.41, 1 Pu 3.31
In 0.3446 0.8446 0.6892  8 Dy 3.23-3.41, 2 Pu 3.54
In 0.6554 0.1554 0.3108  8 Dy 3.23-3.41, 2 Pu 3.54
Dy 0.1672 0.9136 0.3345  7 In 3.25-3.41, 1 Pu 3.31
In 0.0000 0.5000 0.0000  8 Dy 3.21-3.28
Dy 0.1672 0.4209 0.3345  7 In 3.25-3.41, 1 Pu 3.31
In 0.3292 0.3292 0.6583  8 Dy 3.25-3.27
Dy 0.5000 0.2647 0.0000  6 In 3.21-3.27, 2 Pu 3.35

* D(E_F): 1.18 states/eV per atom
* formation energy: -0.358 eV/atom
* volume: 27.083 Å³/atom
* space-group type: No. 71
* magnetic moment: 0.67 μB/atom

=====

Compound: DyPuIn
Source: Alexandria
Functional: PBE-GGA
Structure: relaxed

abc: 3.3300 5.3172 5.3172
angles: 120.00 90.00 90.00
Closest atoms and distances in Å follow each position.
Element x y z (fractional)
In 0.0096 0.0000 0.0000  3 Dy 3.22, 3 Pu 3.25, 2 In 3.33
Pu 0.6917 0.3333 0.6667  3 In 3.25, 2 Pu 3.33, 3 Dy 3.34
Dy 0.2987 0.6667 0.3333  3 In 3.22, 2 Dy 3.33, 3 Pu 3.34

* D(E_F): 2.23 states/eV per atom
* formation energy: -0.092 eV/atom
* volume: 27.178 Å³/atom
* space-group type: No. 156
* ΔE to the lowest computed polymorph: 2.0 kJ/mol of atoms
* magnetic moment: 2.04 μB/atom

=====

Compound: Dy2Pu2In3
Source: Alexandria
Functional: PBE-GGA
Structure: relaxed

abc: 4.7703 3.3454 11.6790
angles: 90.00 78.22 90.00
Closest atoms and distances in Å follow each position.
Element x y z (fractional)
Dy 0.5734 0.5000 0.8531  1 Pu 3.21, 3 Dy 3.35-3.36, 8 In 3.36
Pu 0.2863 0.5000 0.4273  2 Pu 2.91, 1 Dy 3.21
Pu 0.7137 0.5000 0.5727  2 Pu 2.91, 1 Dy 3.21
In 0.8529 0.0000 0.2941  6 Pu 3.29-3.60, 3 In 3.35-3.36, 4 Dy 3.36
In 0.0000 0.0000 0.0000  4 In 3.35-3.36, 8 Dy 3.36
Dy 0.4266 0.5000 0.1469  1 Pu 3.21, 3 Dy 3.35-3.36, 8 In 3.36
In 0.1471 0.0000 0.7059  6 Pu 3.29-3.60, 3 In 3.35-3.36, 4 Dy 3.36

* D(E_F): 1.86 states/eV per atom
* formation energy: -0.234 eV/atom
* volume: 26.065 Å³/atom
* space-group type: No. 65
* magnetic moment: 1.76 μB/atom

=====

Compound: Dy4PuIn5
Source: Alexandria
Functional: PBE-GGA
Structure: relaxed

abc: 3.4817 3.4817 21.8248
angles: 90.00 90.00 90.00
Closest atoms and distances in Å follow each position.
Element x y z (fractional)
Dy 0.0000 0.0000 0.2035  8 In 3.27-3.30, 4 Dy 3.48
In 0.5000 0.5000 0.3020  8 Dy 3.27-3.28, 4 In 3.48
In 0.5000 0.5000 0.6980  8 Dy 3.27-3.28, 4 In 3.48
Pu 0.0000 0.0000 0.0000  8 In 3.33, 4 Pu 3.48
In 0.5000 0.5000 0.5000  8 Dy 3.27, 4 In 3.48
Dy 0.0000 0.0000 0.7965  8 In 3.27-3.30, 4 Dy 3.48
In 0.5000 0.5000 0.1031  4 Dy 3.30, 4 Pu 3.33, 4 In 3.48
Dy 0.0000 0.0000 0.5989  8 In 3.27-3.28, 4 Dy 3.48
Dy 0.0000 0.0000 0.4011  8 In 3.27-3.28, 4 Dy 3.48
In 0.5000 0.5000 0.8969  4 Dy 3.30, 4 Pu 3.33, 4 In 3.48

* D(E_F): 1.37 states/eV per atom
* formation energy: -0.393 eV/atom
* volume: 26.456 Å³/atom
* space-group type: No. 123
* magnetic moment: 0.57 μB/atom

=====

Compound: DyPu2In9
Source: Alexandria
Functional: PBE-GGA
Structure: relaxed

abc: 4.6492 4.6492 13.9570
angles: 90.00 90.00 90.00
Closest atoms and distances in Å follow each position.
Element x y z (fractional)
In 0.5000 0.5000 0.3340  8 In 3.28-3.30, 4 Pu 3.29
In 0.5000 0.0000 0.8334  2 Pu 3.28, 8 In 3.29-3.30, 2 Dy 3.29
Dy 0.0000 0.0000 0.0000  12 In 3.29
Pu 0.0000 0.0000 0.6680  12 In 3.28-3.30
In 0.5000 0.0000 0.1666  2 Pu 3.28, 8 In 3.29-3.30, 2 Dy 3.29
In 0.0000 0.5000 0.5000  8 In 3.28-3.29, 4 Pu 3.30
In 0.5000 0.5000 0.6660  8 In 3.28-3.30, 4 Pu 3.29
In 0.0000 0.5000 0.1666  2 Pu 3.28, 8 In 3.29-3.30, 2 Dy 3.29
In 0.0000 0.5000 0.8334  2 Pu 3.28, 8 In 3.29-3.30, 2 Dy 3.29
In 0.5000 0.5000 0.0000  4 Dy 3.29, 8 In 3.29
In 0.5000 0.0000 0.5000  8 In 3.28-3.29, 4 Pu 3.30
Pu 0.0000 0.0000 0.3320  12 In 3.28-3.30

* D(E_F): 2.16 states/eV per atom
* formation energy: -0.291 eV/atom
* volume: 25.141 Å³/atom
* space-group type: No. 123
* magnetic moment: 0.95 μB/atom

=====

Compound: DyPuIn4
Source: Alexandria
Functional: PBE-GGA
Structure: relaxed

abc: 3.4517 5.0441 8.8214
angles: 90.00 90.01 90.00
Closest atoms and distances in Å follow each position.
Element x y z (fractional)
In 0.9976 0.0000 0.3317  3 In 2.92-2.97
In 0.0020 0.5000 0.1647  3 In 2.90-2.92
In 0.0024 0.0000 0.6683  3 In 2.92-2.97
In 0.9980 0.5000 0.8353  3 In 2.90-2.92
Dy 0.5000 0.0000 0.0000  12 In 3.38-3.40, 2 Dy 3.45
Pu 0.5000 0.5000 0.5000  12 In 3.39-3.43, 2 Pu 3.45

* D(E_F): 1.73 states/eV per atom
* formation energy: -0.282 eV/atom
* volume: 25.598 Å³/atom
* space-group type: No. 10
* ΔE to the lowest computed polymorph: 0.0 kJ/mol of atoms
* magnetic moment: 1.00 μB/atom